Below is a PBEsol-optimized structure of CuSe2, with properties calculated at the meta-GGA SCAN level.

Cell: 3.658 5.142 5.941 Å, 90.00 107.93 90.00°
Element x y z (fractional)
Cu  0.834  0.750  0.668
Cu  0.166  0.250  0.332
Se  0.190  0.750  0.380
Se  0.478  0.750  0.955
Se  0.522  0.250  0.045
Se  0.810  0.250  0.620

Results
The total energy comes out at -18.4587 eV per atom. Its crystal system is orthorhombic.